This record from Alexandria describes a relaxed LaNdNi2 crystal. The functional is GGA-PBE.

Cell: 4.980 4.980 4.980 Å, 60.00 60.00 60.00°
Element x y z (fractional)
1 La 0.500 0.500 0.500
2 Ni 0.750 0.750 0.750
3 Ni 0.250 0.250 0.250
4 Nd 0.000 0.000 0.000

Results
- VASP energy (eV/atom) = -5.539
- SG = Fm-3m, No. 225
- formation energy (eV per atom) = -0.2244
- polymorph energy (0 for the lowest one) (eV/atom) = 0.102